# 1
DFT (PBE) results for crystalline SmSc2Ru at its relaxed geometry.

Energy of formation from the pure elements, eV per atom: -0.331
Volume, A^3/atom: 22.750
Total energy, eV/atom: -6.9952

a = 3.2821 Å, b = 3.2821 Å, c = 8.4476 Å
α = 90.00°, β = 90.00°, γ = 90.00°
With the nearest neighbours (Å) after each atom.
Positions (direct):
Sm  0.0000  0.0000  0.0000  4 Sm 3.28, 8 Sc 3.57
Sc  0.5000  0.5000  0.3207  4 Ru 2.77, 1 Sc 3.03
Sc  0.5000  0.5000  0.6793  4 Ru 2.77, 1 Sc 3.03
Ru  0.0000  0.0000  0.5000  8 Sc 2.77

***

# 2
DFT (PBE) results for crystalline ScCd at its relaxed geometry.

Energy of formation from the pure elements, eV per atom: -0.041
Volume, A^3/atom: 22.199
Total energy, eV/atom: -3.6640

a = 5.0076 Å, b = 5.0076 Å, c = 5.0076 Å
α = 60.00°, β = 60.00°, γ = 60.00°
With the nearest neighbours (Å) after each atom.
Positions (direct):
Sc  0.1250  0.1250  0.1250  4 Cd 3.07, 4 Sc 3.07
Sc  0.8750  0.8750  0.8750  4 Cd 3.07, 4 Sc 3.07
Cd  0.3750  0.3750  0.3750  4 Cd 3.07, 4 Sc 3.07
Cd  0.6250  0.6250  0.6250  4 Sc 3.07, 4 Cd 3.07

***

# 3
DFT (PBE) results for crystalline Al6Te7 at its relaxed geometry.

Formation energy from raw total energies, eV per atom: 0.17
Volume, A^3/atom: 30.515
Total energy, eV/atom: -3.2482

a = 8.8199 Å, b = 8.8199 Å, c = 8.8199 Å
α = 52.24°, β = 52.24°, γ = 52.24°
With the nearest neighbours (Å) after each atom.
Positions (direct):
Al  0.0619  0.0619  0.0619  2 Al 2.68-2.82
Al  0.1794  0.1794  0.1794  1 Al 2.68, 3 Te 2.74
Al  0.3336  0.3336  0.3336  6 Te 2.85-2.94
Al  0.6664  0.6664  0.6664  6 Te 2.85-2.94
Al  0.8206  0.8206  0.8206  1 Al 2.68, 3 Te 2.74
Al  0.9381  0.9381  0.9381  2 Al 2.68-2.82
Te  0.0714  0.5853  0.5853  3 Al 2.74-2.94, 1 Te 3.02
Te  0.4147  0.4147  0.9286  3 Al 2.74-2.94, 1 Te 3.02
Te  0.4147  0.9286  0.4147  3 Al 2.74-2.94, 1 Te 3.02
Te  0.5000  0.5000  0.5000  6 Te 3.02
Te  0.5853  0.0714  0.5853  3 Al 2.74-2.94, 1 Te 3.02
Te  0.5853  0.5853  0.0714  3 Al 2.74-2.94, 1 Te 3.02
Te  0.9286  0.4147  0.4147  3 Al 2.74-2.94, 1 Te 3.02

***

What is the volume in the first record?
22.750 A^3/atom